The following is a DFT calculation (GGA-PBE) of a relaxed structure of K3Y3TiO8.

Unit cell a=7.3995 b=7.3995 c=7.3995 alpha=54.19 beta=54.19 gamma=54.19
Closest atoms and distances in Å follow each position.
Positions (direct):
K 0.0000 0.5000 0.5000  6 O 2.78
K 0.5000 0.0000 0.5000  6 O 2.78
K 0.5000 0.5000 0.0000  6 O 2.78
Y 0.0000 0.0000 0.5000  6 O 2.26-2.32
Y 0.0000 0.5000 0.0000  6 O 2.26-2.32
Y 0.5000 0.0000 0.0000  6 O 2.26-2.32
Ti 0.5000 0.5000 0.5000  6 O 2.05
O 0.2280 0.2280 0.2280  3 Y 2.26
O 0.2586 0.7060 0.7060  1 Ti 2.05
O 0.2940 0.2940 0.7414  1 Ti 2.05
O 0.2940 0.7414 0.2940  1 Ti 2.05
O 0.7060 0.2586 0.7060  1 Ti 2.05
O 0.7060 0.7060 0.2586  1 Ti 2.05
O 0.7414 0.2940 0.2940  1 Ti 2.05
O 0.7720 0.7720 0.7720  3 Y 2.26

Calculated values
* crystal system: trigonal
* M_tot: 0.00 μB per cell
* electronic total energy: -7.496 eV/atom
* V: 247.6 Å³/cell
* SG: R-3m
* energy relative to the elements, uncorrected: -2.813 eV per atom